The following is a DFT calculation (GGA-PBE) of a relaxed structure of Pm3SmSc2S6.

abc: 6.7648 6.7648 6.8425
angles: 99.50 99.50 120.12
Fractional coordinates of all 12 atoms:
S: 0.9229 0.5742 0.7678
Pm: 0.5000 0.5000 0.5000
Pm: 0.8393 0.1607 0.5000
Sc: 0.3345 0.6655 0.0000
S: 0.4258 0.0771 0.2322
Sm: 0.0000 0.0000 0.0000
Pm: 0.1607 0.8393 0.5000
S: 0.2729 0.2729 0.7732
S: 0.7271 0.7271 0.2268
S: 0.5742 0.9229 0.7678
S: 0.0771 0.4258 0.2322
Sc: 0.6655 0.3345 0.0000

- Energy: -6.655 eV per atom
- Uncorrected formation energy: -188.6 kJ per mole of atoms

The following is a DFT calculation (GGA-PBE) of a relaxed structure of HoSc2Nb.

abc: 3.2276 3.2276 10.6940
angles: 81.32 81.32 60.00
Fractional coordinates of all 4 atoms:
Sc: 0.2581 0.2581 0.2256
Ho: 0.5008 0.5008 0.4977
Nb: 0.6663 0.6663 0.0012
Sc: 0.0748 0.0748 0.7755

- ΔE to the lowest computed polymorph: 18.4 meV per atom
- Calculated formation energy: 165 meV per atom
- Energy: -6.663 eV per atom

The following is a DFT calculation (GGA-PBE) of a relaxed structure of SmDy4Si4.

abc: 5.7499 9.1045 9.1045
angles: 90.00 90.00 90.00
Fractional coordinates of all 18 atoms:
Si: 0.3777 0.6448 0.7813
Sm: 0.0000 0.0000 0.0000
Dy: 0.6226 0.9010 0.6629
Si: 0.3777 0.3552 0.2187
Dy: 0.8774 0.4010 0.1629
Si: 0.8777 0.7187 0.1448
Dy: 0.3774 0.3371 0.9010
Dy: 0.3774 0.6629 0.0990
Sm: 0.5000 0.5000 0.5000
Dy: 0.6226 0.0990 0.3371
Si: 0.6223 0.2187 0.6448
Dy: 0.8774 0.5990 0.8371
Dy: 0.1226 0.1629 0.5990
Si: 0.6223 0.7813 0.3552
Dy: 0.1226 0.8371 0.4010
Si: 0.1223 0.1448 0.2813
Si: 0.8777 0.2813 0.8552
Si: 0.1223 0.8552 0.7187

- Energy: -5.453 eV per atom
- Uncorrected formation energy: -45.6 kJ per mole of atoms

The following is a DFT calculation (GGA-PBE) of a relaxed structure of NiGeBr.

abc: 10.2328 3.8171 6.6110
angles: 90.00 102.31 90.00
Fractional coordinates of all 12 atoms:
Br: 0.1783 0.0000 0.8946
Ni: 0.3184 0.0000 0.6069
Br: 0.1783 0.5000 0.3946
Ge: 0.4215 0.0000 0.3077
Ni: 0.3184 0.5000 0.1069
Ni: 0.6816 0.0000 0.3931
Br: 0.8217 0.0000 0.1054
Ni: 0.6816 0.5000 0.8931
Ge: 0.5785 0.5000 0.1923
Ge: 0.5785 0.0000 0.6923
Ge: 0.4215 0.5000 0.8077
Br: 0.8217 0.5000 0.6054

- ΔE to the lowest computed polymorph: 75.0 meV per atom
- Energy: -4.239 eV per atom
- Uncorrected formation energy: -20.8 kJ per mole of atoms

The following is a DFT calculation (GGA-PBE) of a relaxed structure of Li2CaAs2Pd2.

abc: 4.2593 4.2593 8.2675
angles: 75.07 75.07 60.00
Fractional coordinates of all 7 atoms:
As: 0.7478 0.7478 0.7566
Pd: 0.4325 0.4325 0.7026
Li: 0.1424 0.1424 0.5727
Li: 0.8576 0.8576 0.4273
Pd: 0.5675 0.5675 0.2974
As: 0.2522 0.2522 0.2434
Ca: 0.0000 0.0000 0.0000

- Calculated formation energy: -777 meV per atom
- Energy: -4.422 eV per atom

The following is a DFT calculation (GGA-PBE) of a relaxed structure of PmCdInAu.

abc: 5.1013 5.1013 5.1013
angles: 60.00 60.00 60.00
Fractional coordinates of all 4 atoms:
Au: 0.0000 0.0000 0.0000
Pm: 0.2500 0.2500 0.2500
In: 0.5000 0.5000 0.5000
Cd: 0.7500 0.7500 0.7500

- ΔE to the lowest computed polymorph: 28.0 meV per atom
- Calculated formation energy: -470 meV per atom
- Energy: -3.391 eV per atom

The following is a DFT calculation (GGA-PBE) of a relaxed structure of AcPrSb2.

abc: 4.6237 4.6238 8.1067
angles: 90.00 90.00 120.00
Fractional coordinates of all 4 atoms:
Sb: 0.3333 0.1666 0.2379
Pr: 0.0000 0.5000 0.0000
Sb: 0.6667 0.8334 0.7621
Ac: 0.0000 0.5000 0.5000

- ΔE to the lowest computed polymorph: 142.6 meV per atom
- Energy: -5.336 eV per atom
- Uncorrected formation energy: -101.6 kJ per mole of atoms

The following is a DFT calculation (GGA-PBE) of a relaxed structure of Ca3IrC.

abc: 4.8497 4.8497 4.8497
angles: 90.00 90.00 90.00
Site moments in Bohr magnetons follow the coordinates.
Fractional coordinates of all 5 atoms:
Ca: 0.5000 0.0000 0.0000  0.01
Ca: 0.0000 0.5000 0.0000  0.02
Ca: 0.0000 0.0000 0.5000  0.02
Ir: 0.5000 0.5000 0.5000  0.29
C: 0.0000 0.0000 0.0000  0.34

- ΔE to the lowest computed polymorph: 0.0 meV per atom
- Calculated formation energy: 333 meV per atom
- Energy: -4.485 eV per atom

- Number 4 is which compound?
  NiGeBr

- Which value of energy does entry 3 give?
  -5.453 eV per atom

- What is the energy in the sixth record?
  -3.391 eV per atom